Density functional theory data (PBE) for crystalline Cd2Ru2Pb at its relaxed geometry. Values from VASP.

Values from the calculation:
The space group is I4/mmm (139). For the mass density, the calculation gives 10.1 g/cm3. The value obtained for the calculated volume is 20.77 Å³ per atom. The total energy comes out at -21.01 eV for the cell shown. For the formation energy, the calculation gives 0.615 eV per atom. The value obtained for the density of states at the Fermi level is 3.61 states/eV/cell.

```
&SYSTEM
  ibrav = 0, nat = 5, ntyp = 3
/
ATOMIC_SPECIES
Cd 112.41 Cd.upf
Ru 101.07 Ru.upf
Pb 207.20 Pb.upf
ATOMIC_POSITIONS angstrom
Cd 2.028 0.000 3.155
Cd 0.000 2.028 3.155
Ru 0.000 0.000 1.187
Ru 0.000 0.000 11.434
Pb 0.000 0.000 6.311
CELL_PARAMETERS angstrom
-2.028 2.028 6.311
2.028 -2.028 6.311
2.028 2.028 -6.311
```